(1)
RbAlGe after structural relaxation, computed with PBE.

## Properties
**Calculated density**: 3.2 g cm⁻³
**Energy relative to the elements**: 0.1344 eV per atom

Lattice parameters (Å, degrees): 7.0712 6.3492 4.2622 90.00 90.00 90.00
Positions (direct):
Ge (0.2500, 0.5000, 0.9130)
Ge (0.7500, 0.5000, 0.0870)
Al (0.0000, 0.5000, 0.5000)
Al (0.5000, 0.5000, 0.5000)
Rb (0.2500, 0.0000, 0.2619)
Rb (0.7500, 0.0000, 0.7381)



(2)
Ca2SmPbSe4 after structural relaxation, computed with PBE.

## Properties
**Calculated density**: 5.8 g cm⁻³
**Raw formation energy**: -1.55 eV per atom

Lattice parameters (Å, degrees): 4.2207 7.4128 7.3633 109.28 90.00 90.00
Positions (direct):
Ca (0.5000, 0.0000, 0.5000)
Ca (0.0000, 0.5000, 0.5000)
Sm (0.5000, 0.5000, 0.0000)
Pb (0.0000, 0.0000, 0.0000)
Se (0.5000, 0.2602, 0.2576)
Se (0.5000, 0.7398, 0.7424)
Se (0.0000, 0.2536, 0.7457)
Se (0.0000, 0.7464, 0.2543)